PBE+U CrAg4F6, relaxed; total magnetic moment = 0.27 μB/atom; space-group type = P4/mnc, No. 128; density of states at the Fermi level = 2.4 states/eV/cell; E_tot = -90.85 eV/cell
1.0
6.978 0.000 0.000
0.000 6.978 0.000
0.000 0.000 7.267
F Ag Cr
12 8 2
Direct
0.613 0.241 0.000 F
0.241 0.387 0.000 F
0.000 0.000 0.767 F
0.000 0.000 0.233 F
0.887 0.741 0.500 F
0.259 0.887 0.500 F
0.500 0.500 0.733 F
0.500 0.500 0.267 F
0.741 0.113 0.500 F
0.113 0.259 0.500 F
0.759 0.613 0.000 F
0.387 0.759 0.000 F
0.358 0.142 0.250 Ag
0.358 0.142 0.750 Ag
0.642 0.858 0.750 Ag
0.642 0.858 0.250 Ag
0.858 0.358 0.250 Ag
0.142 0.642 0.750 Ag
0.142 0.642 0.250 Ag
0.858 0.358 0.750 Ag
0.000 0.000 0.500 Cr
0.500 0.500 0.000 Cr